This record from Alexandria describes a geometry-optimized Y5Er5Sc structure. The functional is GGA-PBE.

Cell: 9.777 9.777 6.880 Å, 110.42 110.42 34.75°
Fractional positions:
Y 0.000 0.000 0.000
Y 0.324 0.324 0.068
Y 0.324 0.324 0.579
Y 0.676 0.676 0.421
Y 0.676 0.676 0.932
Er 0.123 0.123 0.625
Er 0.170 0.170 0.171
Er 0.500 0.500 0.500
Er 0.830 0.830 0.829
Er 0.877 0.877 0.375
Sc 0.500 0.500 0.000

As for the symmetry: C2/m. The crystal system is monoclinic.

This record from Alexandria describes a geometry-optimized Y4Er4Sc structure. The functional is GGA-PBE.

Cell: 12.203 12.203 12.203 Å, 155.23 155.23 35.32°
Fractional positions:
Y 0.127 0.127 0.503
Y 0.377 0.873 0.000
Y 0.623 0.623 0.497
Y 0.873 0.377 0.000
Er 0.000 0.500 0.500
Er 0.249 0.249 0.000
Er 0.500 0.000 0.500
Er 0.751 0.751 0.000
Sc 0.500 0.500 0.000

As for the symmetry: I-42m. The crystal system is tetragonal.

This record from Alexandria describes a geometry-optimized Y3Er6ZrSc2 structure. The functional is GGA-PBE.

Cell: 5.979 5.979 11.437 Å, 94.99 94.99 119.93°
Fractional positions:
Y 0.000 0.000 0.000
Y 0.333 0.667 0.000
Y 0.667 0.333 0.000
Er 0.091 0.420 0.262
Er 0.250 0.250 0.737
Er 0.420 0.091 0.262
Er 0.580 0.909 0.738
Er 0.750 0.750 0.263
Er 0.909 0.580 0.738
Zr 0.500 0.500 0.500
Sc 0.167 0.833 0.500
Sc 0.833 0.167 0.500

As for the symmetry: C2/m. The crystal system is monoclinic.

This record from Alexandria describes a geometry-optimized YErZrSc structure. The functional is GGA-PBE.

Cell: 7.587 7.587 7.587 Å, 90.00 90.00 90.00°
Fractional positions:
Y 0.000 0.000 0.000
Y 0.000 0.500 0.500
Y 0.500 0.000 0.500
Y 0.500 0.500 0.000
Er 0.250 0.250 0.250
Er 0.250 0.750 0.750
Er 0.750 0.250 0.750
Er 0.750 0.750 0.250
Zr 0.000 0.000 0.500
Zr 0.000 0.500 0.000
Zr 0.500 0.000 0.000
Zr 0.500 0.500 0.500
Sc 0.250 0.250 0.750
Sc 0.250 0.750 0.250
Sc 0.750 0.250 0.250
Sc 0.750 0.750 0.750

As for the symmetry: F-43m. The crystal system is cubic. For the excess energy over the best structure of this formula in the dataset, the calculation gives 110 meV/atom.

This record from Alexandria describes a geometry-optimized YErZrSc structure. The functional is GGA-PBE.

Cell: 4.761 4.761 9.533 Å, 90.00 90.00 90.00°
Fractional positions:
Y 0.000 0.000 0.000
Y 0.500 0.500 0.500
Er 0.000 0.500 0.750
Er 0.500 0.000 0.250
Zr 0.000 0.500 0.250
Zr 0.500 0.000 0.750
Sc 0.000 0.000 0.500
Sc 0.500 0.500 0.000

As for the symmetry: I-4m2. The crystal system is tetragonal. For the excess energy over the best structure of this formula in the dataset, the calculation gives 0 meV/atom.

This record from Alexandria describes a geometry-optimized YEr2ZrSc4 structure. The functional is GGA-PBE.

Cell: 4.759 4.776 9.313 Å, 90.00 90.00 90.00°
Fractional positions:
Y 0.000 0.000 0.000
Er 0.000 0.000 0.500
Er 0.500 0.500 0.000
Zr 0.500 0.500 0.500
Sc 0.000 0.500 0.262
Sc 0.000 0.500 0.738
Sc 0.500 0.000 0.262
Sc 0.500 0.000 0.738

As for the symmetry: Pmmm. The crystal system is orthorhombic.

This record from Alexandria describes a geometry-optimized ErSc2Zn2 structure. The functional is GGA-PBE.

Cell: 3.432 4.912 12.706 Å, 90.00 97.77 90.00°
Fractional positions:
Er 0.146 0.250 0.290
Er 0.854 0.750 0.710
Sc 0.047 0.750 0.093
Sc 0.234 0.750 0.468
Sc 0.766 0.250 0.532
Sc 0.953 0.250 0.907
Zn 0.359 0.250 0.719
Zn 0.454 0.750 0.909
Zn 0.546 0.250 0.091
Zn 0.641 0.750 0.281

As for the symmetry: P2_1/m. The crystal system is monoclinic. For the excess energy over the best structure of this formula in the dataset, the calculation gives 0 meV/atom.

This record from Alexandria describes a geometry-optimized ErSc2Zn structure. The functional is GGA-PBE.

Cell: 3.478 5.023 10.674 Å, 90.00 90.00 90.00°
Fractional positions:
Er 0.000 0.000 0.000
Er 0.500 0.500 0.500
Sc 0.000 0.500 0.216
Sc 0.000 0.500 0.784
Sc 0.500 0.000 0.284
Sc 0.500 0.000 0.716
Zn 0.000 0.000 0.500
Zn 0.500 0.500 0.000

As for the symmetry: Immm. The crystal system is orthorhombic. For the excess energy over the best structure of this formula in the dataset, the calculation gives 0 meV/atom.

This record from Alexandria describes a geometry-optimized ErSc2Zn structure. The functional is GGA-PBE.

Cell: 3.361 3.361 8.234 Å, 90.00 90.00 90.00°
Fractional positions:
Er 0.000 0.000 0.000
Sc 0.500 0.500 0.298
Sc 0.500 0.500 0.702
Zn 0.000 0.000 0.500

As for the symmetry: P4/mmm. The crystal system is tetragonal. For the excess energy over the best structure of this formula in the dataset, the calculation gives 22 meV/atom.

This record from Alexandria describes a geometry-optimized Er2Sc3Zn3 structure. The functional is GGA-PBE.

Cell: 3.467 4.880 20.462 Å, 90.00 90.00 90.00°
Fractional positions:
Er 0.000 0.000 0.228
Er 0.000 0.000 0.772
Er 0.500 0.500 0.272
Er 0.500 0.500 0.728
Sc 0.000 0.000 0.000
Sc 0.000 0.500 0.117
Sc 0.000 0.500 0.883
Sc 0.500 0.000 0.383
Sc 0.500 0.000 0.617
Sc 0.500 0.500 0.500
Zn 0.000 0.000 0.500
Zn 0.000 0.500 0.390
Zn 0.000 0.500 0.610
Zn 0.500 0.000 0.110
Zn 0.500 0.000 0.890
Zn 0.500 0.500 0.000

As for the symmetry: Immm. The crystal system is orthorhombic.

This record from Alexandria describes a geometry-optimized Er3ScZn8 structure. The functional is GGA-PBE.

Cell: 9.305 9.305 9.305 Å, 33.70 33.70 33.70°
Fractional positions:
Er 0.000 0.000 0.000
Er 0.125 0.125 0.125
Er 0.503 0.503 0.503
Sc 0.627 0.627 0.627
Zn 0.061 0.564 0.564
Zn 0.064 0.064 0.565
Zn 0.064 0.565 0.064
Zn 0.313 0.313 0.313
Zn 0.564 0.061 0.564
Zn 0.564 0.564 0.061
Zn 0.565 0.064 0.064
Zn 0.814 0.814 0.814

As for the symmetry: R3m. The crystal system is trigonal.

This record from Alexandria describes a geometry-optimized ErSc2Zn structure. The functional is GGA-PBE.

Cell: 3.265 3.265 32.232 Å, 90.00 90.00 120.00°
Fractional positions:
Er 0.000 0.000 0.000
Er 0.333 0.667 0.667
Er 0.667 0.333 0.333
Sc 0.000 0.000 0.100
Sc 0.000 0.000 0.900
Sc 0.333 0.667 0.566
Sc 0.333 0.667 0.767
Sc 0.667 0.333 0.233
Sc 0.667 0.333 0.434
Zn 0.000 0.000 0.500
Zn 0.333 0.667 0.167
Zn 0.667 0.333 0.833

As for the symmetry: R-3m. The crystal system is trigonal. For the excess energy over the best structure of this formula in the dataset, the calculation gives 322 meV/atom.

| no. | magnetic moment (μB/f.u.) | energy relative to the elements (eV/atom) |
| --- | --- | --- |
| 1 | 1.33 | 0.2809 |
| 2 | 3.10 | 0.7003 |
| 3 | 0.00 | 0.0553 |
| 4 | 2.08 | 0.1926 |
| 5 | 0.00 | 0.0826 |
| 6 | 0.00 | 0.0539 |
| 7 | 0.00 | -0.2809 |
| 8 | 0.00 | -0.1735 |
| 9 | 0.00 | -0.1517 |
| 10 | 0.00 | -0.2268 |
| 11 | 0.00 | -0.3296 |
| 12 | 1.15 | 0.1489 |